AuSeCl2 after structural relaxation, computed with PBE.

The structure in POSCAR format:
```
AuSeCl2
1.0
4.935 -0.250 0.400
2.072 -3.227 3.142
2.432 -3.950 -1.749
Cl Au Se
2 1 1
direct
0.250 0.250 0.250
0.750 0.750 0.750
0.500 0.500 0.500
0.000 0.000 0.000
```

Results
calculated volume	21.54	Å³/atom
ΔE to the lowest computed polymorph	793.2	meV per atom
VASP energy	-1.97	eV per atom
energy relative to the elements, uncorrected	0.645	eV per atom
total magnetization	2.31	μB/cell